[1]
Compound: BaB
Source: Alexandria via LeMat-Bulk
Functional: GGA-PBE
Structure: relaxed

Cell and atoms, written as POSCAR:
```
BaB
1.0
-3.8208 2.9508 10.3036
-7.2878 -1.1094 -8.6676
-0.4152 -3.1762 0.7556
Ba B
6 6
Direct
0.5649 0.7824 0.7500 Ba
0.2176 0.4351 0.7500 Ba
0.7824 0.5649 0.2500 Ba
0.7824 0.2176 0.2500 Ba
0.2176 0.7824 0.7500 Ba
0.4351 0.2176 0.2500 Ba
0.5077 0.4923 0.7500 B
0.9846 0.4923 0.7500 B
0.5077 0.0154 0.7500 B
0.4923 0.5077 0.2500 B
0.0154 0.5077 0.2500 B
0.4923 0.9846 0.2500 B
```

Calculated values
offset from the most stable computed form = 20 kJ/mol of formula units
energy = -4.147 eV per atom
magnetic moment = 0.049 μB/atom
E_form = 0.153 eV per atom



[2]
Compound: BaB
Source: Alexandria via LeMat-Bulk
Functional: GGA-PBE
Structure: relaxed

Cell and atoms, written as POSCAR:
```
BaB
1.0
8.3706 0.0000 0.0000
0.0000 8.3706 0.0000
0.0000 0.0000 8.3706
B Ba
6 6
Direct
0.0000 0.5000 0.2500 B
0.7500 0.0000 0.5000 B
0.5000 0.7500 0.0000 B
0.2500 0.0000 0.5000 B
0.5000 0.2500 0.0000 B
0.0000 0.5000 0.7500 B
0.0000 0.7500 0.5000 Ba
0.0000 0.2500 0.5000 Ba
0.2500 0.5000 0.0000 Ba
0.7500 0.5000 0.0000 Ba
0.5000 0.0000 0.7500 Ba
0.5000 0.0000 0.2500 Ba
```

Calculated values
offset from the most stable computed form = 288 kJ/mol of formula units
energy = -2.759 eV per atom
magnetic moment = 0.817 μB/atom
E_form = 1.541 eV per atom



[3]
Compound: BaB
Source: Alexandria via LeMat-Bulk
Functional: GGA-PBE
Structure: relaxed

Cell and atoms, written as POSCAR:
```
BaB
1.0
-4.5594 1.1153 19.7697
2.7396 -1.8319 0.7352
2.5205 3.9141 0.3605
B Ba
6 6
Direct
0.2563 0.0000 0.0000 B
0.7437 0.0000 0.0000 B
0.0000 0.0000 0.5000 B
0.7563 0.5000 0.0000 B
0.2437 0.5000 0.0000 B
0.5000 0.5000 0.5000 B
0.1590 0.0000 0.5000 Ba
0.6590 0.5000 0.5000 Ba
0.0000 0.5000 0.0000 Ba
0.3410 0.5000 0.5000 Ba
0.5000 0.0000 0.0000 Ba
0.8410 0.0000 0.5000 Ba
```

Calculated values
offset from the most stable computed form = 80 kJ/mol of formula units
energy = -3.839 eV per atom
magnetic moment = 0.000 μB/atom
E_form = 0.461 eV per atom



[4]
Compound: BaB
Source: Alexandria via LeMat-Bulk
Functional: GGA-PBE
Structure: relaxed

Cell and atoms, written as POSCAR:
```
BaB
1.0
-3.3106 -3.0887 -2.8957
5.0108 -1.6531 1.0222
-1.9198 -2.6887 5.0627
Ba B
2 2
Direct
0.3333 0.6667 0.7500 Ba
0.6667 0.3333 0.2500 Ba
0.3333 0.6667 0.2500 B
0.6667 0.3333 0.7500 B
```

Calculated values
offset from the most stable computed form = 257 kJ/mol of formula units
energy = -2.921 eV per atom
magnetic moment = 1.018 μB/atom
E_form = 1.379 eV per atom



[5]
Compound: BaB
Source: Alexandria via LeMat-Bulk
Functional: GGA-PBE
Structure: relaxed

Cell and atoms, written as POSCAR:
```
BaB
1.0
6.3265 0.0000 0.0000
0.0000 6.3265 0.0000
0.0000 0.0000 6.3265
Ba B
4 4
Direct
0.5000 0.0000 0.0000 Ba
0.0000 0.5000 0.0000 Ba
0.0000 0.0000 0.5000 Ba
0.5000 0.5000 0.5000 Ba
0.5000 0.0000 0.5000 B
0.0000 0.5000 0.5000 B
0.0000 0.0000 0.0000 B
0.5000 0.5000 0.0000 B
```

Calculated values
offset from the most stable computed form = 232 kJ/mol of formula units
energy = -3.051 eV per atom
magnetic moment = 0.942 μB/atom
E_form = 1.249 eV per atom



[6]
Compound: BaB
Source: Alexandria via LeMat-Bulk
Functional: GGA-PBE
Structure: relaxed

Cell and atoms, written as POSCAR:
```
BaB
1.0
11.6774 0.0000 0.0000
0.0000 11.6774 0.0000
0.0000 0.0000 3.2947
B Ba
8 8
Direct
0.7419 0.7419 0.5000 B
0.7419 0.2581 0.5000 B
0.2581 0.2581 0.5000 B
0.2581 0.7419 0.5000 B
0.7581 0.7581 0.0000 B
0.2419 0.7581 0.0000 B
0.7581 0.2419 0.0000 B
0.2419 0.2419 0.0000 B
0.7429 0.5000 0.0000 Ba
0.5000 0.7429 0.0000 Ba
0.0000 0.7571 0.5000 Ba
0.2571 0.5000 0.0000 Ba
0.0000 0.2429 0.5000 Ba
0.7571 0.0000 0.5000 Ba
0.5000 0.2571 0.0000 Ba
0.2429 0.0000 0.5000 Ba
```

Calculated values
offset from the most stable computed form = 10 kJ/mol of formula units
energy = -4.199 eV per atom
magnetic moment = 0.000 μB/atom
E_form = 0.101 eV per atom



> The highest magnetic moment belongs to which entry?

number 4



Please write out number 6 again, unchanged.
Compound: BaB
Source: Alexandria via LeMat-Bulk
Functional: GGA-PBE
Structure: relaxed

Cell and atoms, written as POSCAR:
```
BaB
1.0
11.6774 0.0000 0.0000
0.0000 11.6774 0.0000
0.0000 0.0000 3.2947
B Ba
8 8
Direct
0.7419 0.7419 0.5000 B
0.7419 0.2581 0.5000 B
0.2581 0.2581 0.5000 B
0.2581 0.7419 0.5000 B
0.7581 0.7581 0.0000 B
0.2419 0.7581 0.0000 B
0.7581 0.2419 0.0000 B
0.2419 0.2419 0.0000 B
0.7429 0.5000 0.0000 Ba
0.5000 0.7429 0.0000 Ba
0.0000 0.7571 0.5000 Ba
0.2571 0.5000 0.0000 Ba
0.0000 0.2429 0.5000 Ba
0.7571 0.0000 0.5000 Ba
0.5000 0.2571 0.0000 Ba
0.2429 0.0000 0.5000 Ba
```

Calculated values
offset from the most stable computed form = 10 kJ/mol of formula units
energy = -4.199 eV per atom
magnetic moment = 0.000 μB/atom
E_form = 0.101 eV per atom



> Which of these has the highest magnetic moment?

number 4